No. 1
First-principles (PBE) data for an optimized crystal structure of Rb2Np2BeSe6, as listed in Alexandria via LeMat-Bulk.

size of the total moment: 12.0 μB/cell
final energy: -5.745 eV per atom
formation energy without anion corrections: -0.976 eV/atom

Lattice parameters (Å, degrees): 6.8156 12.9891 8.4998 90.00 106.05 90.00
Space group C2/m (No. 12)
Asymmetric unit:
Rb (0.0000, 0.1527, 0.0000) (multiplicity 4)
Np (0.0000, 0.3334, 0.5000) (multiplicity 4)
Be (0.0000, 0.0000, 0.5000) (multiplicity 2)
Se (0.2173, 0.0000, 0.3521) (multiplicity 4)
Se (0.2403, 0.1800, 0.6970) (multiplicity 8)

***

No. 2
First-principles (PBE) data for an optimized crystal structure of Rb3Np3BeSe8, as listed in Alexandria via LeMat-Bulk.

size of the total moment: 20.0 μB/cell
final energy: -5.921 eV per atom
formation energy without anion corrections: -1.033 eV/atom

Lattice parameters (Å, degrees): 14.2649 8.2472 9.4290 90.00 120.26 90.00
Space group C2/m (No. 12)
Asymmetric unit:
Rb (0.0000, 0.0000, 0.0000) (multiplicity 2)
Rb (0.2500, 0.2500, 0.0000) (multiplicity 4)
Np (0.0000, 0.5000, 0.5000) (multiplicity 2)
Np (0.2500, 0.2500, 0.5000) (multiplicity 4)
Be (0.0000, 0.0000, 0.5000) (multiplicity 2)
Se (0.0188, 0.2339, 0.3227) (multiplicity 8)
Se (0.2136, 0.0000, 0.6763) (multiplicity 4)
Se (0.2324, 0.5000, 0.6969) (multiplicity 4)

***

No. 3
First-principles (PBE) data for an optimized crystal structure of NpBeRh2, as listed in Alexandria via LeMat-Bulk.

size of the total moment: 3.2 μB/cell
final energy: -8.113 eV per atom

Lattice parameters (Å, degrees): 4.1711 4.1711 3.6126 90.00 90.00 90.00
Space group P4/mmm (No. 123)
Asymmetric unit:
Np (0.0000, 0.0000, 0.0000) (multiplicity 1)
Be (0.5000, 0.5000, 0.0000) (multiplicity 1)
Rh (0.0000, 0.5000, 0.5000) (multiplicity 2)

***

No. 4
First-principles (PBE) data for an optimized crystal structure of NpBeRh2, as listed in Alexandria via LeMat-Bulk.

size of the total moment: 3.3 μB/cell
final energy: -8.194 eV per atom

Lattice parameters (Å, degrees): 2.9463 2.9463 6.7860 90.00 90.00 90.00
Space group P4/mmm (No. 123)
Asymmetric unit:
Np (0.0000, 0.0000, 0.0000) (multiplicity 1)
Be (0.0000, 0.0000, 0.5000) (multiplicity 1)
Rh (0.5000, 0.5000, 0.3023) (multiplicity 2)

***

No. 5
First-principles (PBE) data for an optimized crystal structure of NpBe4Ru, as listed in Alexandria via LeMat-Bulk.

size of the total moment: 12.3 μB/cell
final energy: -6.154 eV per atom

Lattice parameters (Å, degrees): 6.6208 6.6208 6.6208 90.00 90.00 90.00
Space group F-43m (No. 216)
Asymmetric unit:
Np (0.0000, 0.0000, 0.0000) (multiplicity 4)
Be (0.1227, 0.1227, 0.6227) (multiplicity 16)
Ru (0.2500, 0.2500, 0.2500) (multiplicity 4)

***

No. 6
First-principles (PBE) data for an optimized crystal structure of Np2BeSi2Ru5, as listed in Alexandria via LeMat-Bulk.

size of the total moment: 12.0 μB/cell
final energy: -8.969 eV per atom
formation energy without anion corrections: -0.286 eV/atom

Lattice parameters (Å, degrees): 9.9222 9.9222 3.1099 90.00 90.00 90.00
Space group P4/mbm (No. 127)
Asymmetric unit:
Np (0.1745, 0.3255, 0.0000) (multiplicity 4)
Be (0.0000, 0.0000, 0.0000) (multiplicity 2)
Si (0.1317, 0.6317, 0.0000) (multiplicity 4)
Ru (0.0000, 0.5000, 0.5000) (multiplicity 2)
Ru (0.0504, 0.7998, 0.5000) (multiplicity 8)

***

No. 7
First-principles (PBE) data for an optimized crystal structure of Np3BeS6, as listed in Alexandria via LeMat-Bulk.

size of the total moment: 44.0 μB/cell
final energy: -8.015 eV per atom
formation energy without anion corrections: -1.283 eV/atom

Lattice parameters (Å, degrees): 10.5799 12.9999 6.3088 90.00 90.00 90.00
Space group Cmc2_1 (No. 36)
Asymmetric unit:
Np (0.0000, 0.1075, 0.0000) (multiplicity 4)
Np (0.1786, 0.3982, 0.0821) (multiplicity 8)
Be (0.0000, 0.3021, 0.6353) (multiplicity 4)
S (0.0000, 0.2812, 0.2958) (multiplicity 4)
S (0.0000, 0.4562, 0.7610) (multiplicity 4)
S (0.1606, 0.0271, 0.2925) (multiplicity 8)
S (0.1609, 0.2378, 0.7860) (multiplicity 8)

***

No. 8
First-principles (PBE) data for an optimized crystal structure of Sr2NpBeS5, as listed in Alexandria via LeMat-Bulk.

size of the total moment: 12.0 μB/cell
final energy: -6.092 eV per atom
formation energy without anion corrections: -1.573 eV/atom

Lattice parameters (Å, degrees): 3.9574 17.1568 12.4412 90.00 90.00 90.00
Space group Cmc2_1 (No. 36)
Asymmetric unit:
Sr (0.0000, 0.1130, 0.0000) (multiplicity 4)
Sr (0.0000, 0.1167, 0.6495) (multiplicity 4)
Np (0.0000, 0.1948, 0.3382) (multiplicity 4)
Be (0.0000, 0.4393, 0.7312) (multiplicity 4)
S (0.0000, 0.0411, 0.3190) (multiplicity 4)
S (0.0000, 0.3002, 0.9845) (multiplicity 4)
S (0.0000, 0.3157, 0.6892) (multiplicity 4)
S (0.0000, 0.3479, 0.3262) (multiplicity 4)
S (0.0000, 0.4979, 0.5887) (multiplicity 4)

***

No. 9
First-principles (PBE) data for an optimized crystal structure of NpBeSb2, as listed in Alexandria via LeMat-Bulk.

size of the total moment: 13.6 μB/cell
final energy: -5.758 eV per atom
formation energy without anion corrections: 0.470 eV/atom

Lattice parameters (Å, degrees): 3.3079 3.3079 29.7251 90.00 90.00 120.00
Space group R-3m (No. 166, hexagonal axes)
Asymmetric unit:
Np (0.0000, 0.0000, 0.0000) (multiplicity 3)
Be (0.0000, 0.0000, 0.5000) (multiplicity 3)
Sb (0.0000, 0.0000, 0.1064) (multiplicity 6)

***

No. 10
First-principles (PBE) data for an optimized crystal structure of NpScBe4, as listed in Alexandria via LeMat-Bulk.

size of the total moment: 15.2 μB/cell
final energy: -5.532 eV per atom

Lattice parameters (Å, degrees): 6.8459 6.8459 6.8459 90.00 90.00 90.00
Space group F-43m (No. 216)
Asymmetric unit:
Np (0.0000, 0.0000, 0.0000) (multiplicity 4)
Sc (0.2500, 0.2500, 0.7500) (multiplicity 4)
Be (0.1241, 0.1241, 0.3759) (multiplicity 16)

***

No. 11
First-principles (PBE) data for an optimized crystal structure of NpBeSe, as listed in Alexandria via LeMat-Bulk.

size of the total moment: 16.5 μB/cell
final energy: -7.171 eV per atom
formation energy without anion corrections: -0.454 eV/atom

Lattice parameters (Å, degrees): 3.8466 14.9784 4.0680 90.00 90.00 90.00
Space group Cmcm (No. 63)
Asymmetric unit:
Np (0.0000, 0.1204, 0.2500) (multiplicity 4)
Be (0.0000, 0.4736, 0.2500) (multiplicity 4)
Se (0.0000, 0.3260, 0.2500) (multiplicity 4)

***

No. 12
First-principles (PBE) data for an optimized crystal structure of Np3BeTl3Se8, as listed in Alexandria via LeMat-Bulk.

size of the total moment: 6.4 μB/cell
final energy: -5.906 eV per atom
formation energy without anion corrections: -0.738 eV/atom

Lattice parameters (Å, degrees): 14.4133 8.0893 9.2207 90.00 122.06 90.00
Space group C2/m (No. 12)
Asymmetric unit:
Np (0.0000, 0.0000, 0.0000) (multiplicity 2)
Np (0.2500, 0.2500, 0.0000) (multiplicity 4)
Be (0.0000, 0.5000, 0.0000) (multiplicity 2)
Tl (0.0000, 0.5000, 0.5000) (multiplicity 2)
Tl (0.2500, 0.2500, 0.5000) (multiplicity 4)
Se (0.0152, 0.2850, 0.8254) (multiplicity 8)
Se (0.2358, 0.0000, 0.2084) (multiplicity 4)
Se (0.2417, 0.0000, 0.7842) (multiplicity 4)